## Pu4Ge2N (PBE-GGA)

Data for crystalline Pu4Ge2N at its relaxed geometry.

For the density of states at the Fermi level, the calculation gives 4.18 states/eV/atom. As for the uncorrected formation energy: -559 meV/atom.

a b c (Å): 4.5697 4.5697 8.4014
angles (deg): 74.22 74.22 90.00
Sites, in units of the cell vectors:
Ge 0.6349 0.6349 0.7303
Ge 0.3651 0.3651 0.2697
Pu 0.8262 0.8262 0.3476
Pu 0.5000 0.0000 0.0000
Pu 0.1738 0.1738 0.6524
Pu 0.0000 0.5000 0.0000
N 0.0000 0.0000 0.0000



## Pu2GeN (PBE-GGA)

Data for crystalline Pu2GeN at its relaxed geometry.

For the density of states at the Fermi level, the calculation gives 2.87 states/eV/atom. The energy relative to the lowest polymorph listed for this composition is 196.8 meV/atom. As for the uncorrected formation energy: -510 meV/atom.

a b c (Å): 3.5029 3.5029 7.5767
angles (deg): 76.63 76.63 60.00
Sites, in units of the cell vectors:
Pu 0.2315 0.2315 0.3055
Pu 0.1033 0.1033 0.6900
Ge 0.6674 0.6674 0.9978
N 0.4977 0.4977 0.5068



## PuGeSbN (PBE-GGA)

Data for crystalline PuGeSbN at its relaxed geometry.

For the density of states at the Fermi level, the calculation gives 1.75 states/eV/atom. As for the uncorrected formation energy: -352 meV/atom.

a b c (Å): 3.1610 3.1610 9.0215
angles (deg): 100.09 100.09 90.00
Sites, in units of the cell vectors:
Sb 0.9615 0.9615 0.9229
Pu 0.6170 0.6170 0.2340
N 0.1607 0.1607 0.3214
Ge 0.2729 0.2729 0.5458



## Sr2PuGeN5 (PBE-GGA)

Data for crystalline Sr2PuGeN5 at its relaxed geometry.

For the density of states at the Fermi level, the calculation gives 0.34 states/eV/atom. As for the uncorrected formation energy: -570 meV/atom.

a b c (Å): 3.4561 7.4052 11.4239
angles (deg): 90.00 90.00 103.49
Sites, in units of the cell vectors:
N 0.6955 0.3911 0.9120
N 0.3423 0.6845 0.0086
N 0.3045 0.6089 0.4120
N 0.2840 0.5681 0.6417
N 0.4998 0.9996 0.7928
N 0.6577 0.3155 0.5086
N 0.9408 0.8816 0.5221
N 0.7160 0.4319 0.1417
N 0.5002 0.0004 0.2928
N 0.0592 0.1184 0.0221
Pu 0.2113 0.4227 0.0310
Pu 0.7887 0.5773 0.5310
Sr 0.1322 0.2643 0.3221
Sr 0.9107 0.8214 0.1658
Sr 0.8678 0.7357 0.8221
Sr 0.0893 0.1786 0.6658
Ge 0.5609 0.1218 0.9279
Ge 0.4391 0.8782 0.4279



## Pu2TaGeN5 (PBE-GGA)

Data for crystalline Pu2TaGeN5 at its relaxed geometry.

For the density of states at the Fermi level, the calculation gives 1.41 states/eV/atom. As for the uncorrected formation energy: -858 meV/atom.

a b c (Å): 3.1702 7.0548 10.2749
angles (deg): 90.00 90.00 102.98
Sites, in units of the cell vectors:
Ta 0.2211 0.4423 0.0035
Ta 0.7789 0.5577 0.5035
N 0.3032 0.6065 0.3677
N 0.2882 0.5763 0.6439
N 0.3663 0.7326 0.0006
N 0.5013 0.0026 0.2904
N 0.6968 0.3935 0.8677
N 0.6337 0.2674 0.5006
N 0.9456 0.8913 0.5483
N 0.4987 0.9974 0.7904
N 0.7118 0.4237 0.1439
N 0.0544 0.1087 0.0483
Pu 0.1203 0.2407 0.7128
Pu 0.1364 0.2727 0.2829
Pu 0.8797 0.7593 0.2128
Pu 0.8636 0.7273 0.7829
Ge 0.4958 0.9916 0.4739
Ge 0.5042 0.0084 0.9739



## PuTc2GeN (PBE-GGA)

Data for crystalline PuTc2GeN at its relaxed geometry.

For the density of states at the Fermi level, the calculation gives 2.17 states/eV/atom. As for the uncorrected formation energy: -442 meV/atom.

a b c (Å): 3.4000 6.1442 7.7452
angles (deg): 90.00 90.00 106.06
Sites, in units of the cell vectors:
Tc 0.8385 0.6769 0.4495
Tc 0.1615 0.3231 0.5505
Tc 0.8385 0.6769 0.0505
Tc 0.1615 0.3231 0.9495
N 0.0000 0.0000 0.0000
N 0.0000 0.0000 0.5000
Pu 0.4669 0.9339 0.7500
Pu 0.5331 0.0661 0.2500
Ge 0.2515 0.5030 0.2500
Ge 0.7485 0.4970 0.7500



## Pu2Tc2Ge2N (PBE-GGA)

Data for crystalline Pu2Tc2Ge2N at its relaxed geometry.

For the density of states at the Fermi level, the calculation gives 2.68 states/eV/atom. As for the uncorrected formation energy: -509 meV/atom.

a b c (Å): 3.8681 5.9202 7.0898
angles (deg): 56.73 90.00 70.95
Sites, in units of the cell vectors:
Tc 0.1978 0.6045 0.0729
Tc 0.8022 0.3955 0.9271
Ge 0.8524 0.2950 0.3301
Ge 0.1476 0.7050 0.6699
N 0.0000 0.0000 0.0000
Pu 0.4396 0.1210 0.7209
Pu 0.5604 0.8790 0.2791



## PuTc2Ge2N (PBE-GGA)

Data for crystalline PuTc2Ge2N at its relaxed geometry.

For the density of states at the Fermi level, the calculation gives 1.63 states/eV/atom. As for the uncorrected formation energy: -352 meV/atom.

a b c (Å): 4.1419 4.1419 5.5001
angles (deg): 90.00 90.00 90.00
Sites, in units of the cell vectors:
Tc 0.5000 0.0000 0.0000
Tc 0.0000 0.5000 0.0000
Pu 0.0000 0.0000 0.5000
N 0.0000 0.0000 0.0000
Ge 0.5000 0.5000 0.7169
Ge 0.5000 0.5000 0.2831



## Y2PuGeN5 (PBE-GGA)

Data for crystalline Y2PuGeN5 at its relaxed geometry.

For the density of states at the Fermi level, the calculation gives 0.67 states/eV/atom. As for the uncorrected formation energy: -971 meV/atom.

a b c (Å): 3.3241 7.2211 10.1427
angles (deg): 90.00 90.00 103.31
Sites, in units of the cell vectors:
Pu 0.7859 0.5718 0.5040
Pu 0.2141 0.4282 0.0040
Y 0.1120 0.2240 0.6981
Y 0.1268 0.2536 0.2897
Y 0.8880 0.7760 0.1981
Y 0.8732 0.7464 0.7897
N 0.7128 0.4257 0.1459
N 0.3739 0.7477 0.0113
N 0.2996 0.5993 0.3655
N 0.2872 0.5743 0.6459
N 0.9495 0.8991 0.5499
N 0.6261 0.2523 0.5113
N 0.5014 0.0028 0.2878
N 0.4986 0.9972 0.7878
N 0.7004 0.4007 0.8655
N 0.0505 0.1009 0.0499
Ge 0.5066 0.0132 0.9717
Ge 0.4934 0.9868 0.4717



## Pu2ZrGeN5 (PBE-GGA)

Data for crystalline Pu2ZrGeN5 at its relaxed geometry.

For the density of states at the Fermi level, the calculation gives 1.47 states/eV/atom. As for the uncorrected formation energy: -924 meV/atom.

a b c (Å): 3.2485 7.0784 10.3492
angles (deg): 90.00 90.00 103.27
Sites, in units of the cell vectors:
N 0.3011 0.6023 0.3557
N 0.9476 0.8951 0.5499
N 0.4976 0.9952 0.7924
N 0.6989 0.3977 0.8557
N 0.2887 0.5774 0.6514
N 0.6298 0.2596 0.5120
N 0.3702 0.7404 0.0120
N 0.7113 0.4226 0.1514
N 0.0524 0.1049 0.0499
N 0.5024 0.0048 0.2924
Ge 0.4958 0.9916 0.4762
Ge 0.5042 0.0084 0.9762
Zr 0.7819 0.5638 0.4991
Zr 0.2181 0.4362 0.9991
Pu 0.8762 0.7524 0.2077
Pu 0.1328 0.2656 0.2796
Pu 0.1238 0.2476 0.7077
Pu 0.8672 0.7344 0.7796



## Rb2GeN (PBE-GGA)

Data for crystalline Rb2GeN at its relaxed geometry.

For the density of states at the Fermi level, the calculation gives 1.24 states/eV/atom. The energy relative to the lowest polymorph listed for this composition is 962.4 meV/atom. As for the uncorrected formation energy: 1253 meV/atom.

a b c (Å): 5.4829 5.4829 5.4829
angles (deg): 60.00 60.00 60.00
Sites, in units of the cell vectors:
Rb 0.7500 0.7500 0.7500
Rb 0.2500 0.2500 0.2500
N 0.0000 0.0000 0.0000
Ge 0.5000 0.5000 0.5000



## Rb2GeN (PBE-GGA)

Data for crystalline Rb2GeN at its relaxed geometry.

For the density of states at the Fermi level, the calculation gives 1.27 states/eV/atom. The energy relative to the lowest polymorph listed for this composition is 0.0 meV/atom. As for the uncorrected formation energy: 291 meV/atom.

a b c (Å): 12.5215 12.5215 9.0719
angles (deg): 46.36 46.36 90.00
Sites, in units of the cell vectors:
Ge 0.0000 0.0000 0.0000
Ge 0.7500 0.2500 0.5000
Rb 0.8750 0.6513 0.7500
Rb 0.3750 0.5987 0.7500
Rb 0.4013 0.1250 0.2500
Rb 0.3487 0.6250 0.2500
N 0.2500 0.7500 0.5000
N 0.5000 0.5000 0.0000